# 1
A relaxed structure of HfHg2I5, computed with PBE.

Cell: 7.795 7.795 14.121 Å, 90.00 90.00 90.00°
Atoms (fractional coordinates):
Hf: 0.000 0.000 0.000
Hf: 0.500 0.500 0.500
Hg: 0.000 0.500 0.275
Hg: 0.000 0.500 0.775
Hg: 0.500 0.000 0.275
Hg: 0.500 0.000 0.775
I: 0.000 0.000 0.810
I: 0.244 0.244 0.051
I: 0.244 0.756 0.051
I: 0.256 0.256 0.551
I: 0.256 0.744 0.551
I: 0.500 0.500 0.310
I: 0.744 0.256 0.551
I: 0.744 0.744 0.551
I: 0.756 0.244 0.051
I: 0.756 0.756 0.051

Theoretical density (Mg/m³): 4.70
Raw total energy (eV/atom): -2.729
Spin magnetization (Bohr magnetons per cell): 0.0
E_form (uncorrected) (meV per atom): -440

# 2
A relaxed structure of MgTaF3, computed with PBE.

Cell: 4.066 4.066 4.066 Å, 90.00 90.00 90.00°
Atoms (fractional coordinates):
Mg: 0.000 0.000 0.000
Ta: 0.500 0.500 0.500
F: 0.000 0.000 0.500
F: 0.000 0.500 0.000
F: 0.500 0.000 0.000

Theoretical density (Mg/m³): 6.48
Energy above the lowest structure with this stoichiometry (meV per atom): 103
Raw total energy (eV/atom): -5.251
Spin magnetization (Bohr magnetons per cell): 3.7
E_form (uncorrected) (meV per atom): -1439

# 3
A relaxed structure of Mg2ZnNi, computed with PBE.

Cell: 10.199 3.076 4.502 Å, 90.00 114.13 90.00°
Atoms (fractional coordinates):
Mg: 0.000 0.000 0.000
Mg: 0.211 0.000 0.700
Mg: 0.500 0.500 0.000
Mg: 0.711 0.500 0.700
Zn: 0.274 0.500 0.261
Zn: 0.774 0.000 0.261
Ni: 0.477 0.000 0.481
Ni: 0.977 0.500 0.481

Theoretical density (Mg/m³): 4.45
ΔE_f (eV/atom): -0.149
Raw total energy (eV/atom): -2.710
Spin magnetization (Bohr magnetons per cell): 0.0

# 4
A relaxed structure of Dy2MgCd4, computed with PBE.

Cell: 8.798 8.798 8.798 Å, 33.39 33.39 33.39°
Atoms (fractional coordinates):
Dy: 0.247 0.247 0.247
Dy: 0.753 0.753 0.753
Mg: 0.500 0.500 0.500
Cd: 0.122 0.122 0.122
Cd: 0.372 0.372 0.372
Cd: 0.628 0.628 0.628
Cd: 0.878 0.878 0.878

Theoretical density (Mg/m³): 7.23
Energy above the lowest structure with this stoichiometry (meV per atom): 0
ΔE_f (eV/atom): -0.116
Raw total energy (eV/atom): -2.182
Spin magnetization (Bohr magnetons per cell): 0.0

# 5
A relaxed structure of TmPaBi, computed with PBE.

Cell: 3.931 3.931 11.152 Å, 90.00 90.00 90.00°
Atoms (fractional coordinates):
Tm: 0.000 0.000 0.000
Tm: 0.500 0.500 0.500
Pa: 0.000 0.000 0.311
Pa: 0.500 0.500 0.811
Bi: 0.000 0.000 0.649
Bi: 0.500 0.500 0.149

Theoretical density (Mg/m³): 11.73
Energy above the lowest structure with this stoichiometry (meV per atom): 311
ΔE_f (eV/atom): -0.031
Raw total energy (eV/atom): -5.980
Spin magnetization (Bohr magnetons per cell): 2.1

# 6
A relaxed structure of MnCrCoRe, computed with PBE.

Cell: 5.856 5.856 5.856 Å, 90.00 90.00 90.00°
Atoms (fractional coordinates):
Mn: 0.000 0.000 0.000
Mn: 0.000 0.500 0.500
Mn: 0.500 0.000 0.500
Mn: 0.500 0.500 0.000
Cr: 0.000 0.000 0.500
Cr: 0.000 0.500 0.000
Cr: 0.500 0.000 0.000
Cr: 0.500 0.500 0.500
Co: 0.250 0.250 0.250
Co: 0.250 0.750 0.750
Co: 0.750 0.250 0.750
Co: 0.750 0.750 0.250
Re: 0.250 0.250 0.750
Re: 0.250 0.750 0.250
Re: 0.750 0.250 0.250
Re: 0.750 0.750 0.750

Theoretical density (Mg/m³): 11.65
ΔE_f (eV/atom): 0.041
Raw total energy (eV/atom): -9.546
Spin magnetization (Bohr magnetons per cell): 18.8

# 7
A relaxed structure of LiMnSeBr2, computed with PBE.

Cell: 5.277 5.277 4.857 Å, 90.00 90.00 90.00°
Atoms (fractional coordinates):
Li: 0.000 0.000 0.000
Mn: 0.500 0.500 0.500
Se: 0.500 0.500 0.000
Br: 0.000 0.500 0.500
Br: 0.500 0.000 0.500

Theoretical density (Mg/m³): 3.69
Energy above the lowest structure with this stoichiometry (meV per atom): 0
Raw total energy (eV/atom): -4.123
Spin magnetization (Bohr magnetons per cell): 4.0
E_form (uncorrected) (meV per atom): -540

# 8
A relaxed structure of SrHgPb6, computed with PBE.

Cell: 4.830 4.830 10.714 Å, 90.00 90.00 90.00°
Atoms (fractional coordinates):
Sr: 0.000 0.000 0.000
Hg: 0.000 0.000 0.500
Pb: 0.000 0.500 0.254
Pb: 0.000 0.500 0.746
Pb: 0.500 0.000 0.254
Pb: 0.500 0.000 0.746
Pb: 0.500 0.500 0.000
Pb: 0.500 0.500 0.500

Theoretical density (Mg/m³): 10.17
ΔE_f (eV/atom): -0.123
Raw total energy (eV/atom): -3.152
Spin magnetization (Bohr magnetons per cell): 0.0

# 9
A relaxed structure of BeNbCu2Au, computed with PBE.

Cell: 4.678 4.678 4.997 Å, 90.00 90.00 90.00°
Atoms (fractional coordinates):
Be: 0.000 0.000 0.000
Nb: 0.500 0.500 0.000
Cu: 0.000 0.500 0.500
Cu: 0.500 0.000 0.500
Au: 0.500 0.500 0.500

Theoretical density (Mg/m³): 6.47
ΔE_f (eV/atom): 1.416
Raw total energy (eV/atom): -3.637
Spin magnetization (Bohr magnetons per cell): 0.9

# 10
A relaxed structure of Pr4CuSe3, computed with PBE.

Cell: 7.442 8.515 7.323 Å, 90.00 109.55 90.00°
Atoms (fractional coordinates):
Pr: 0.245 0.128 0.499
Pr: 0.245 0.872 0.999
Pr: 0.247 0.377 0.000
Pr: 0.247 0.623 0.500
Pr: 0.753 0.377 0.500
Pr: 0.753 0.623 0.000
Pr: 0.755 0.128 0.001
Pr: 0.755 0.872 0.501
Cu: 0.000 0.376 0.250
Cu: 0.000 0.624 0.750
Se: 0.000 0.125 0.750
Se: 0.000 0.875 0.250
Se: 0.500 0.122 0.250
Se: 0.500 0.374 0.750
Se: 0.500 0.626 0.250
Se: 0.500 0.878 0.750

Theoretical density (Mg/m³): 6.56
Raw total energy (eV/atom): -5.622
Spin magnetization (Bohr magnetons per cell): 0.0
E_form (uncorrected) (meV per atom): -1414

# 11
A relaxed structure of SiTeAu4, computed with PBE.

Cell: 5.599 5.599 5.599 Å, 60.00 60.00 60.00°
Atoms (fractional coordinates):
Si: 0.000 0.000 0.000
Te: 0.750 0.750 0.750
Au: 0.375 0.375 0.375
Au: 0.375 0.375 0.876
Au: 0.375 0.876 0.375
Au: 0.876 0.375 0.375

Theoretical density (Mg/m³): 12.62
Energy above the lowest structure with this stoichiometry (meV per atom): 225
Raw total energy (eV/atom): -3.314
Spin magnetization (Bohr magnetons per cell): 0.0
E_form (uncorrected) (meV per atom): 298

# 12
A relaxed structure of Ho3PtRh, computed with PBE.

Cell: 8.554 7.256 8.068 Å, 90.00 105.58 90.00°
Atoms (fractional coordinates):
Ho: 0.052 0.001 0.217
Ho: 0.052 0.499 0.717
Ho: 0.285 0.649 0.108
Ho: 0.285 0.851 0.608
Ho: 0.358 0.187 0.995
Ho: 0.358 0.313 0.495
Ho: 0.642 0.687 0.505
Ho: 0.642 0.813 0.005
Ho: 0.715 0.149 0.392
Ho: 0.715 0.351 0.892
Ho: 0.948 0.501 0.283
Ho: 0.948 0.999 0.783
Pt: 0.410 0.541 0.808
Pt: 0.410 0.959 0.308
Pt: 0.590 0.041 0.692
Pt: 0.590 0.459 0.192
Rh: 0.061 0.188 0.522
Rh: 0.061 0.312 0.022
Rh: 0.939 0.688 0.978
Rh: 0.939 0.812 0.478

Theoretical density (Mg/m³): 10.92
Energy above the lowest structure with this stoichiometry (meV per atom): 0
ΔE_f (eV/atom): -0.927
Raw total energy (eV/atom): -6.353
Spin magnetization (Bohr magnetons per cell): 0.0

# 13
A relaxed structure of BaScSi2, computed with PBE.

Cell: 3.711 3.711 6.987 Å, 90.00 90.00 90.00°
Atoms (fractional coordinates):
Ba: 0.000 0.000 0.000
Sc: 0.000 0.000 0.500
Si: 0.500 0.500 0.331
Si: 0.500 0.500 0.669

Theoretical density (Mg/m³): 4.12
Energy above the lowest structure with this stoichiometry (meV per atom): 0
Raw total energy (eV/atom): -5.213
Spin magnetization (Bohr magnetons per cell): 0.0
E_form (uncorrected) (meV per atom): -438